# 1
# MnV GGA-PBE relaxed
data_MnV
_chemical_formula_sum 'Mn4 V4'
_space_group_name_H-M_alt 'F m -3 m'
_space_group_IT_number 225
_space_group_name_Hall '-F 4 2 3'
_cell_length_a 4.767
_cell_length_b 4.767
_cell_length_c 4.767
_cell_angle_alpha 90.00
_cell_angle_beta 90.00
_cell_angle_gamma 90.00
loop_
_atom_site_label
_atom_site_type_symbol
_atom_site_fract_x
_atom_site_fract_y
_atom_site_fract_z
Mn1 Mn 0.000 0.000 0.000
V1 V 0.000 0.000 0.500
# calculated total energy: -8.523 eV/atom
# calculated volume: 108.3 Å³ per cell
# M_tot: 3.42 μB/cell
# calculated density: 6.5 g/cm3

# 2
# LiSbCl2 GGA-PBE relaxed
data_LiSbCl2
_chemical_formula_sum 'Li2 Sb2 Cl4'
_space_group_name_H-M_alt 'C m m m'
_space_group_IT_number 65
_space_group_name_Hall '-C 2 2'
_cell_length_a 3.396
_cell_length_b 6.260
_cell_length_c 8.373
_cell_angle_alpha 90.00
_cell_angle_beta 90.00
_cell_angle_gamma 90.00
loop_
_atom_site_label
_atom_site_type_symbol
_atom_site_fract_x
_atom_site_fract_y
_atom_site_fract_z
Li1 Li 0.000 0.000 0.000
Sb1 Sb 0.000 0.000 0.500
Cl1 Cl 0.000 0.500 0.203
# calculated total energy: -3.292 eV/atom
# E_form (uncorrected): -0.860 eV per atom
# calculated volume: 178.0 Å³ per cell
# ΔE to the lowest computed polymorph: 0.218 eV per atom
# M_tot: 0.00 μB/cell
# calculated density: 3.7 g/cm3

# 3
# Pr2Pt5Au5 GGA-PBE relaxed
data_Pr2Pt5Au5
_chemical_formula_sum 'Pr2 Pt5 Au5'
_space_group_name_H-M_alt 'P m m m'
_space_group_IT_number 47
_cell_length_a 4.554
_cell_length_b 5.539
_cell_length_c 9.569
_cell_angle_alpha 90.00
_cell_angle_beta 90.00
_cell_angle_gamma 90.00
loop_
_space_group_symop_operation_xyz
'x,y,z'
'-x,-y,-z'
'-x,-y,z'
'x,y,-z'
'x,-y,-z'
'-x,y,z'
'-x,y,-z'
'x,-y,z'
loop_
_atom_site_label
_atom_site_type_symbol
_atom_site_fract_x
_atom_site_fract_y
_atom_site_fract_z
Pr1 Pr 0.000 0.000 0.000
Pr2 Pr 0.000 0.500 0.500
Pt1 Pt 0.500 0.000 0.500
Pt2 Pt 0.500 0.250 0.253
Au1 Au 0.000 0.000 0.331
Au2 Au 0.000 0.500 0.172
Au3 Au 0.500 0.500 0.000
# calculated total energy: -5.234 eV/atom
# calculated volume: 241.4 Å³ per cell
# M_tot: 0.00 μB/cell
# calculated density: 15.4 g/cm3

# 4
# Cs2TeBr2Cl4 GGA-PBE relaxed
data_Cs2TeBr2Cl4
_chemical_formula_sum 'Cs4 Te2 Br4 Cl8'
_space_group_name_H-M_alt 'I 4/m m m'
_space_group_IT_number 139
_space_group_name_Hall '-I 4 2'
_cell_length_a 7.856
_cell_length_b 7.856
_cell_length_c 10.820
_cell_angle_alpha 90.00
_cell_angle_beta 90.00
_cell_angle_gamma 90.00
loop_
_atom_site_label
_atom_site_type_symbol
_atom_site_fract_x
_atom_site_fract_y
_atom_site_fract_z
Cs1 Cs 0.000 0.500 0.250
Te1 Te 0.000 0.000 0.000
Br1 Br 0.000 0.000 0.253
Cl1 Cl 0.232 0.232 0.000
# calculated total energy: -2.972 eV/atom
# E_form (uncorrected): -1.241 eV per atom
# calculated volume: 667.7 Å³ per cell
# M_tot: 0.00 μB/cell
# calculated density: 3.5 g/cm3

# 5
# BeNi2As GGA-PBE relaxed
data_BeNi2As
_chemical_formula_sum 'Be3 Ni6 As3'
_space_group_name_H-M_alt 'R -3 m'
_space_group_IT_number 166
_space_group_name_Hall '-R 3 2"'
_cell_length_a 2.7420
_cell_length_b 2.7420
_cell_length_c 21.5687
_cell_angle_alpha 90.00
_cell_angle_beta 90.00
_cell_angle_gamma 120.00
loop_
_atom_site_label
_atom_site_type_symbol
_atom_site_fract_x
_atom_site_fract_y
_atom_site_fract_z
Be1 Be 0.0000 0.0000 0.0000
Ni1 Ni 0.0000 0.0000 0.2559
As1 As 0.0000 0.0000 0.5000
# calculated total energy: -4.973 eV/atom
# calculated volume: 140.4 Å³ per cell
# ΔE to the lowest computed polymorph: 0.201 eV per atom
# M_tot: 0.00 μB/cell
# calculated density: 7.1 g/cm3

# 6
# CuH5Rh2 GGA-PBE relaxed
data_CuH5Rh2
_chemical_formula_sum 'Cu2 H10 Rh4'
_space_group_name_H-M_alt 'I m m m'
_space_group_IT_number 71
_space_group_name_Hall '-I 2 2'
_cell_length_a 2.884
_cell_length_b 4.289
_cell_length_c 9.637
_cell_angle_alpha 90.00
_cell_angle_beta 90.00
_cell_angle_gamma 90.00
loop_
_atom_site_label
_atom_site_type_symbol
_atom_site_fract_x
_atom_site_fract_y
_atom_site_fract_z
Cu1 Cu 0.000 0.000 0.000
H1 H 0.000 0.250 0.350
H2 H 0.000 0.500 0.000
Rh1 Rh 0.000 0.500 0.176
# calculated total energy: -4.405 eV/atom
# calculated volume: 119.2 Å³ per cell
# M_tot: 0.00 μB/cell
# calculated density: 7.6 g/cm3

# 7
# TcGeSb2I GGA-PBE relaxed
data_TcGeSb2I
_chemical_formula_sum 'Tc1 Ge1 Sb2 I1'
_space_group_name_H-M_alt 'P 4/m m m'
_space_group_IT_number 123
_space_group_name_Hall '-P 4 2'
_cell_length_a 5.371
_cell_length_b 5.371
_cell_length_c 5.514
_cell_angle_alpha 90.00
_cell_angle_beta 90.00
_cell_angle_gamma 90.00
loop_
_atom_site_label
_atom_site_type_symbol
_atom_site_fract_x
_atom_site_fract_y
_atom_site_fract_z
Tc1 Tc 0.000 0.000 0.000
Ge1 Ge 0.500 0.500 0.500
Sb1 Sb 0.000 0.500 0.500
I1 I 0.500 0.500 0.000
# calculated total energy: -3.682 eV/atom
# E_form (uncorrected): 1.274 eV per atom
# calculated volume: 159.1 Å³ per cell
# ΔE to the lowest computed polymorph: 0.604 eV per atom
# M_tot: 3.54 μB/cell
# calculated density: 5.6 g/cm3

# 8
# TlFe2Ag GGA-PBE relaxed
data_TlFe2Ag
_chemical_formula_sum 'Tl3 Fe6 Ag3'
_space_group_name_H-M_alt 'R 3 m'
_space_group_IT_number 160
_space_group_name_Hall 'R 3 -2"'
_cell_length_a 3.0245
_cell_length_b 3.0245
_cell_length_c 26.3866
_cell_angle_alpha 90.00
_cell_angle_beta 90.00
_cell_angle_gamma 120.00
loop_
_atom_site_label
_atom_site_type_symbol
_atom_site_fract_x
_atom_site_fract_y
_atom_site_fract_z
Tl1 Tl 0.0000 0.0000 0.0000
Fe1 Fe 0.0000 0.0000 0.4840
Fe2 Fe 0.0000 0.0000 0.7547
Ag1 Ag 0.0000 0.0000 0.2326
# calculated total energy: -5.050 eV/atom
# calculated volume: 209.0 Å³ per cell
# ΔE to the lowest computed polymorph: 0.127 eV per atom
# M_tot: 15.90 μB/cell
# calculated density: 10.1 g/cm3

# 9
# Sm7DySc4 GGA-PBE relaxed
data_Sm7DySc4
_chemical_formula_sum 'Sm7 Dy1 Sc4'
_space_group_name_H-M_alt 'P -1'
_space_group_IT_number 2
_cell_length_a 6.117
_cell_length_b 7.057
_cell_length_c 8.671
_cell_angle_alpha 89.98
_cell_angle_beta 76.37
_cell_angle_gamma 89.98
loop_
_space_group_symop_operation_xyz
'x,y,z'
'-x,-y,-z'
loop_
_atom_site_label
_atom_site_type_symbol
_atom_site_fract_x
_atom_site_fract_y
_atom_site_fract_z
Sm1 Sm 0.000 0.000 0.000
Sm2 Sm 0.224 0.500 0.336
Sm3 Sm 0.287 0.756 0.660
Sm4 Sm 0.497 0.243 0.992
Dy1 Dy 0.000 0.500 0.000
Sc1 Sc 0.214 0.001 0.341
Sc2 Sc 0.273 0.242 0.663
# calculated total energy: -5.216 eV/atom
# calculated volume: 363.8 Å³ per cell
# ΔE to the lowest computed polymorph: 0.000 eV per atom
# M_tot: 0.00 μB/cell
# calculated density: 6.4 g/cm3

# 10
# Ac12MgPb7 GGA-PBE relaxed
data_Ac12MgPb7
_chemical_formula_sum 'Ac36 Mg3 Pb21'
_space_group_name_H-M_alt 'R -3'
_space_group_IT_number 148
_space_group_name_Hall '-R 3'
_cell_length_a 15.8915
_cell_length_b 15.8915
_cell_length_c 10.7514
_cell_angle_alpha 90.00
_cell_angle_beta 90.00
_cell_angle_gamma 120.00
loop_
_atom_site_label
_atom_site_type_symbol
_atom_site_fract_x
_atom_site_fract_y
_atom_site_fract_z
Ac1 Ac 0.0411 0.2507 0.0804
Ac2 Ac 0.0425 0.1803 0.7060
Mg1 Mg 0.0000 0.0000 0.5000
Pb1 Pb 0.0000 0.0000 0.0000
Pb2 Pb 0.0675 0.4743 0.0759
# calculated total energy: -4.133 eV/atom
# calculated volume: 2351.4 Å³ per cell
# M_tot: 0.00 μB/cell
# calculated density: 8.9 g/cm3

# 11
# K6HgTe4 GGA-PBE relaxed
data_K6HgTe4
_chemical_formula_sum 'K12 Hg2 Te8'
_space_group_name_H-M_alt 'P 63 m c'
_space_group_IT_number 186
_space_group_name_Hall 'P 6c -2c'
_cell_length_a 11.1708
_cell_length_b 11.1708
_cell_length_c 8.4134
_cell_angle_alpha 90.00
_cell_angle_beta 90.00
_cell_angle_gamma 120.00
loop_
_atom_site_label
_atom_site_type_symbol
_atom_site_fract_x
_atom_site_fract_y
_atom_site_fract_z
K1 K 0.0468 0.5234 0.0000
K2 K 0.1503 0.3005 0.3194
Hg1 Hg 0.3333 0.6667 0.6226
Te1 Te 0.1894 0.3788 0.7268
Te2 Te 0.3333 0.6667 0.2722
# calculated total energy: -2.690 eV/atom
# E_form (uncorrected): -0.922 eV per atom
# calculated volume: 909.2 Å³ per cell
# M_tot: 0.00 μB/cell
# calculated density: 3.5 g/cm3

# 12
# SbTeW2 GGA-PBE relaxed
data_SbTeW2
_chemical_formula_sum 'Sb1 Te1 W2'
_space_group_name_H-M_alt 'P m m m'
_space_group_IT_number 47
_cell_length_a 3.308
_cell_length_b 4.460
_cell_length_c 5.376
_cell_angle_alpha 90.00
_cell_angle_beta 90.00
_cell_angle_gamma 90.00
loop_
_space_group_symop_operation_xyz
'x,y,z'
'-x,-y,-z'
'-x,-y,z'
'x,y,-z'
'x,-y,-z'
'-x,y,z'
'-x,y,-z'
'x,-y,z'
loop_
_atom_site_label
_atom_site_type_symbol
_atom_site_fract_x
_atom_site_fract_y
_atom_site_fract_z
Sb1 Sb 0.000 0.000 0.000
Te1 Te 0.500 0.000 0.500
W1 W 0.000 0.500 0.500
W2 W 0.500 0.500 0.000
# calculated total energy: -7.165 eV/atom
# E_form (uncorrected): 1.127 eV per atom
# calculated volume: 79.3 Å³ per cell
# ΔE to the lowest computed polymorph: 0.848 eV per atom
# M_tot: 0.00 μB/cell
# calculated density: 12.9 g/cm3

- What is the calculated density in the eighth record?
  10.1 g/cm3